(1)
YZnHgW2: relaxed, GGA-PBEsol.

Cell: 4.841 4.841 4.988 Å, 90.00 90.00 90.00°
Space group P4/mmm (No. 123)
One atom of each set of equivalent atoms:
Y 0.000 0.000 0.000 (multiplicity 1)
Zn 0.000 0.000 0.500 (multiplicity 1)
Hg 0.500 0.500 0.500 (multiplicity 1)
W 0.000 0.500 0.000 (multiplicity 2)

Properties
N(E_F) (states/eV/cell): 6.05
Formation energy from the elements (meV per atom): 2534


(2)
KCd2Cu: relaxed, GGA-PBEsol.

Cell: 6.164 10.407 2.859 Å, 90.00 90.00 90.00°
Space group Cmmm (No. 65)
One atom of each set of equivalent atoms:
K 0.000 0.000 0.000 (multiplicity 2)
Cd 0.250 0.250 0.500 (multiplicity 4)
Cu 0.000 0.500 0.000 (multiplicity 2)

Properties
E above lowest polymorph (eV/atom): 0.3312
N(E_F) (states/eV/cell): 2.85
Formation energy from the elements (meV per atom): 417


(3)
BaMnBe2: relaxed, GGA-PBEsol.

Cell: 6.786 6.786 6.786 Å, 90.00 90.00 90.00°
Space group F-43m (No. 216)
One atom of each set of equivalent atoms:
Ba 0.000 0.000 0.000 (multiplicity 4)
Mn 0.250 0.250 0.750 (multiplicity 4)
Be 0.000 0.000 0.500 (multiplicity 4)
Be 0.250 0.250 0.250 (multiplicity 4)

Properties
E above lowest polymorph (eV/atom): 0.0882
N(E_F) (states/eV/cell): 9.95
Formation energy from the elements (meV per atom): 1087


Question: N(E_F) of number 2 (KCd2Cu)?
Answer: 2.85 states/eV/cell